Cs4MnCl6 | GGA-PBE | optimized geometry

a = 8.8549 Å, b = 9.6829 Å, c = 14.4363 Å
α = 78.69°, β = 72.14°, γ = 62.79°
Last column: nearest neighbours and their distance in Å.
Atoms (fractional coordinates):
Cl 0.3464 0.2864 0.7234  1 Mn 2.38
Cl 0.9305 0.0226 0.6421  4 Cs 3.33-3.36
Cl 0.6159 0.6538 0.7599  4 Cs 3.32-3.35
Cl 0.9704 0.1538 0.2599  4 Cs 3.32-3.35
Cl 0.9262 0.5909 0.4138  1 Mn 2.36
Cl 0.4048 0.5226 0.1421  4 Cs 3.33-3.36
Cl 0.4413 0.6759 0.4891  1 Mn 2.38
Cl 0.0691 0.0909 0.9138  1 Mn 2.36
Cl 0.5713 0.0243 0.4237  1 Mn 2.35
Cl 0.9807 0.5243 0.9237  1 Mn 2.35
Cl 0.6438 0.7864 0.2234  1 Mn 2.38
Cl 0.3937 0.1759 0.9891  1 Mn 2.38
Mn 0.6493 0.7698 0.3892  4 Cl 2.35-2.38
Mn 0.1918 0.2698 0.8892  4 Cl 2.35-2.38
Cs 0.6919 0.2821 0.8136  5 Cl 3.32-3.66
Cs 0.6834 0.1449 0.1593  4 Cl 3.33-3.73
Cs 0.0125 0.6449 0.6593  4 Cl 3.33-3.73
Cs 0.3270 0.9604 0.6594  5 Cl 3.33-3.64
Cs 0.5227 0.7752 0.9807  4 Cl 3.33-3.57
Cs 0.0532 0.4604 0.1594  5 Cl 3.33-3.64
Cs 0.7214 0.2752 0.4807  4 Cl 3.33-3.57
Cs 0.2124 0.7821 0.3136  5 Cl 3.32-3.66

Summary:
Magnetic moment (μB per formula unit): 5.0
Final energy (eV/f.u.): -42.728
Formation energy (no corrections) (eV per atom): -1.733
SG: No. 9